1.
This record from Alexandria via LeMat-Bulk describes a crystal of Li5Mn3Co2P6O24 relaxed with PBEsol. The functional is meta-GGA SCAN.

Geometry as POSCAR:
```
Li5Mn3Co2P6O24
1.0
8.074 0.122 -0.187
-3.609 7.270 0.159
-0.526 -4.651 7.262
Li Mn Co P O
5 3 2 6 24
Direct
0.165 0.682 0.803
0.221 0.479 0.119
0.806 0.545 0.872
0.326 0.981 0.158
0.091 0.876 0.629
0.642 0.696 0.348
0.858 0.297 0.172
0.365 0.321 0.669
0.988 0.985 0.978
0.507 0.012 0.530
0.956 0.220 0.749
0.586 0.798 0.046
0.255 0.546 0.468
0.734 0.474 0.535
0.428 0.216 0.970
0.044 0.780 0.258
0.586 0.600 0.908
0.344 0.480 0.576
0.104 0.188 0.654
0.997 0.195 0.916
0.978 0.435 0.809
0.747 0.031 0.614
0.760 0.989 0.046
0.642 0.857 0.248
0.806 0.342 0.408
0.406 0.688 0.407
0.889 0.690 0.711
0.621 0.239 0.043
0.393 0.787 0.002
0.099 0.336 0.280
0.594 0.325 0.598
0.183 0.685 0.583
0.398 0.155 0.764
0.251 0.024 0.962
0.261 0.960 0.381
0.023 0.558 0.176
0.001 0.817 0.102
0.910 0.781 0.375
0.607 0.508 0.423
0.426 0.420 0.087
```

Values from the calculation:
The total DFT energy (no corrections) is -406.070 eV for the cell shown.

2.
This record from Alexandria via LeMat-Bulk describes a crystal of Li4Mn3Co3Sb2O16 relaxed with PBEsol. The functional is meta-GGA SCAN.

Geometry as POSCAR:
```
Li4Mn3Co3Sb2O16
1.0
5.745 0.000 0.000
-2.872 4.988 0.029
0.000 -0.261 9.519
Sb Mn Co O Li
2 3 3 16 4
Direct
0.332 0.663 0.515
0.674 0.348 0.008
0.170 0.340 0.787
0.337 0.168 0.286
0.830 0.168 0.286
0.170 0.831 0.786
0.661 0.831 0.786
0.826 0.653 0.284
0.482 0.965 0.669
0.336 0.671 0.885
0.999 0.998 0.696
0.995 0.990 0.197
0.843 0.686 0.896
0.157 0.314 0.409
0.665 0.331 0.387
0.521 0.042 0.151
0.153 0.822 0.404
0.669 0.822 0.404
0.033 0.515 0.668
0.482 0.515 0.668
0.527 0.503 0.155
0.976 0.503 0.155
0.321 0.166 0.899
0.845 0.166 0.899
0.339 0.679 0.092
0.999 0.998 0.008
0.991 0.982 0.509
0.665 0.331 0.603
```

Values from the calculation:
The calculation puts the density of states at the Fermi level at 4.1 states/eV/f.u. The total DFT energy (no corrections) is -343.650 eV for the cell shown.

3.
This record from Alexandria via LeMat-Bulk describes a crystal of Li4Mn3Co3Te2O16 relaxed with PBEsol. The functional is meta-GGA SCAN.

Geometry as POSCAR:
```
Li4Mn3Co3Te2O16
1.0
-3.817 4.254 0.660
-2.994 1.909 -4.527
-6.977 -6.501 1.831
Li Mn Co Te O
4 3 3 2 16
Direct
0.333 0.333 0.101
0.998 0.998 0.006
0.999 0.999 0.508
0.667 0.667 0.604
0.171 0.171 0.784
0.337 0.832 0.284
0.832 0.337 0.284
0.168 0.663 0.785
0.663 0.168 0.785
0.830 0.830 0.285
0.338 0.338 0.512
0.668 0.668 0.006
0.158 0.692 0.395
0.484 0.484 0.671
0.333 0.333 0.886
0.001 0.001 0.694
0.997 0.997 0.191
0.692 0.158 0.395
0.029 0.487 0.672
0.487 0.029 0.672
0.845 0.845 0.893
0.154 0.154 0.392
0.511 0.970 0.171
0.970 0.511 0.171
0.665 0.665 0.387
0.310 0.846 0.893
0.513 0.513 0.171
0.845 0.310 0.893
```

Values from the calculation:
The calculation puts the density of states at the Fermi level at 4.0 states/eV/f.u. The total DFT energy (no corrections) is -339.922 eV for the cell shown.

4.
This record from Alexandria via LeMat-Bulk describes a crystal of Li4Ti2Mn3Co3O16 relaxed with PBEsol. The functional is meta-GGA SCAN.

Geometry as POSCAR:
```
Li4Ti2Mn3Co3O16
1.0
5.653 -0.023 0.043
-2.816 4.912 0.057
-0.038 -0.129 9.238
Mn Co Li O Ti
3 3 4 16 2
Direct
0.343 0.172 0.217
0.172 0.341 0.716
0.172 0.831 0.716
0.830 0.169 0.214
0.830 0.661 0.214
0.661 0.831 0.714
0.666 0.333 0.896
0.995 0.997 0.999
0.994 0.997 0.496
0.332 0.666 0.392
0.839 0.169 0.600
0.959 0.480 0.333
0.668 0.334 0.109
0.999 0.999 0.307
0.997 0.998 0.809
0.838 0.669 0.600
0.518 0.036 0.336
0.518 0.481 0.336
0.667 0.833 0.101
0.330 0.165 0.599
0.478 0.516 0.836
0.478 0.962 0.836
0.334 0.667 0.608
0.166 0.330 0.100
0.034 0.517 0.836
0.166 0.836 0.100
0.678 0.339 0.492
0.339 0.669 0.997
```

Values from the calculation:
The calculation puts the density of states at the Fermi level at 3.7 states/eV/f.u. The total DFT energy (no corrections) is -312.258 eV for the cell shown.

5.
This record from Alexandria via LeMat-Bulk describes a crystal of LiCoMo2 relaxed with PBEsol. The functional is meta-GGA SCAN.

Geometry as POSCAR:
```
LiCoMo2
1.0
-0.681 0.998 2.365
-1.881 -1.188 1.451
5.576 -5.288 5.329
Co Li Mo
1 1 2
Direct
0.500 0.500 0.500
0.000 0.000 0.000
0.242 0.242 0.273
0.758 0.758 0.727
```

Values from the calculation:
The calculation puts the density of states at the Fermi level at 2.4 states/eV/f.u. As for the distance to the lowest polymorph of the same formula: 71.5 meV/atom. The calculation puts the formation enthalpy at 0 K at 1.69 eV/f.u. The total DFT energy (no corrections) is -87.772 eV for the cell shown.

6.
This record from Alexandria via LeMat-Bulk describes a crystal of Li2CoMo relaxed with PBEsol. The functional is meta-GGA SCAN.

Geometry as POSCAR:
```
Li2CoMo
1.0
2.542 0.000 -0.128
0.000 3.815 0.000
-1.179 0.000 5.554
Co Li Mo
1 2 1
Direct
0.125 0.500 0.715
0.090 0.000 0.008
0.784 0.500 0.227
0.501 0.000 0.549
```

Values from the calculation:
The calculation puts the density of states at the Fermi level at 3.3 states/eV/f.u. As for the distance to the lowest polymorph of the same formula: 18.5 meV/atom. The calculation puts the formation enthalpy at 0 K at 1.48 eV/f.u. The total DFT energy (no corrections) is -55.492 eV for the cell shown.

7.
This record from Alexandria via LeMat-Bulk describes a crystal of LiCoMo2 relaxed with PBEsol. The functional is meta-GGA SCAN.

Geometry as POSCAR:
```
LiCoMo2
1.0
4.927 0.000 0.000
2.464 4.766 0.000
2.464 0.000 4.766
Mo Co Li
4 2 2
Direct
0.092 0.033 0.533
0.658 0.967 0.467
0.375 0.533 0.967
0.875 0.467 0.033
0.750 0.500 0.500
0.000 0.000 0.000
0.250 0.500 0.500
0.500 0.000 0.000
```

Values from the calculation:
The calculation puts the density of states at the Fermi level at 2.8 states/eV/f.u. As for the distance to the lowest polymorph of the same formula: 367.6 meV/atom. The calculation puts the formation enthalpy at 0 K at 2.88 eV/f.u. The total DFT energy (no corrections) is -173.175 eV for the cell shown.

8.
This record from Alexandria via LeMat-Bulk describes a crystal of Li2CoMo relaxed with PBEsol. The functional is meta-GGA SCAN.

Geometry as POSCAR:
```
Li2CoMo
1.0
-0.499 -0.224 2.441
3.656 -2.522 0.133
2.572 3.774 0.871
Co Li Mo
1 2 1
Direct
0.500 0.000 0.500
0.313 0.242 0.000
0.687 0.758 0.000
0.000 0.500 0.500
```

Values from the calculation:
The calculation puts the density of states at the Fermi level at 2.2 states/eV/f.u. As for the distance to the lowest polymorph of the same formula: 0.0 meV/atom. The calculation puts the formation enthalpy at 0 K at 1.40 eV/f.u. The total DFT energy (no corrections) is -55.566 eV for the cell shown.